(1)
# KTa3Zn (GGA-PBE, optimized geometry)
# space-group type: No. 221
# formation energy from the elements: 1844.2 meV/atom
# calculated volume: 23.71 Å³ per atom
# relative energy among the computed polymorphs: 0.0 meV per atom
# uncorrected energy: -28.7 eV per cell
# magnetization: 0.000 μB per atom
data_KTa3Zn
_chemical_formula_sum 'K1 Ta3 Zn1'
_space_group_name_H-M_alt 'P 1'
_space_group_IT_number 1
_space_group_name_Hall 'P 1'
_cell_length_a 4.913
_cell_length_b 4.913
_cell_length_c 4.913
_cell_angle_alpha 90.00
_cell_angle_beta 90.00
_cell_angle_gamma 90.00
loop_
_atom_site_label
_atom_site_type_symbol
_atom_site_fract_x
_atom_site_fract_y
_atom_site_fract_z
K1 K 0.000 0.000 0.000
Ta1 Ta 0.000 0.500 0.500
Ta2 Ta 0.500 0.000 0.500
Ta3 Ta 0.500 0.500 0.000
Zn1 Zn 0.500 0.500 0.500

(2)
# MgCd4Pd5 (GGA-PBE, optimized geometry)
# space-group type: No. 123
# formation energy from the elements: -466.5 meV/atom
# calculated volume: 17.25 Å³ per atom
# uncorrected energy: -35.9 eV per cell
# magnetization: 0.000 μB per atom
data_MgCd4Pd5
_chemical_formula_sum 'Mg1 Cd4 Pd5'
_space_group_name_H-M_alt 'P 1'
_space_group_IT_number 1
_space_group_name_Hall 'P 1'
_cell_length_a 3.274
_cell_length_b 3.274
_cell_length_c 16.098
_cell_angle_alpha 90.00
_cell_angle_beta 90.00
_cell_angle_gamma 90.00
loop_
_atom_site_label
_atom_site_type_symbol
_atom_site_fract_x
_atom_site_fract_y
_atom_site_fract_z
Mg1 Mg 0.000 0.000 0.000
Cd1 Cd 0.000 0.000 0.196
Cd2 Cd 0.000 0.000 0.399
Cd3 Cd 0.000 0.000 0.601
Cd4 Cd 0.000 0.000 0.804
Pd1 Pd 0.500 0.500 0.093
Pd2 Pd 0.500 0.500 0.297
Pd3 Pd 0.500 0.500 0.500
Pd4 Pd 0.500 0.500 0.703
Pd5 Pd 0.500 0.500 0.907